Record 1
! ScPtRh2 | Alexandria via LeMat-Bulk | GGA-PBEsol | optimized geometry; values from VASP
! Theoretical density, g cm⁻³: 12.2
! Space-group type: R-3m (166)
! Energy, eV/atom: -7.621
&SYSTEM
  ibrav = 0, nat = 4, ntyp = 3
/
ATOMIC_SPECIES
Sc 44.96 Sc.upf
Pt 195.08 Pt.upf
Rh 102.91 Rh.upf
CELL_PARAMETERS angstrom
1.419 0.819 8.701
-1.419 0.819 8.701
0.000 -1.638 8.701
ATOMIC_POSITIONS crystal
Sc 0.000 0.000 0.000
Pt 0.500 0.500 0.500
Rh 0.253 0.253 0.253
Rh 0.747 0.747 0.747

=====

Record 2
! Pt2RhSe | Alexandria via LeMat-Bulk | GGA-PBEsol | optimized geometry; values from VASP
! Theoretical density, g cm⁻³: 15.7
! Space-group type: P4mm (99)
! Formation energy (no corrections), eV/atom: 0.086
&SYSTEM
  ibrav = 0, nat = 4, ntyp = 3
/
ATOMIC_SPECIES
Pt 195.08 Pt.upf
Rh 102.91 Rh.upf
Se 78.96 Se.upf
CELL_PARAMETERS angstrom
2.877 0.000 0.000
0.000 2.877 0.000
0.000 0.000 7.307
ATOMIC_POSITIONS crystal
Pt 0.000 0.000 0.000
Pt 0.500 0.500 0.260
Rh 0.000 0.000 0.520
Se 0.500 0.500 0.731

=====

Record 3
! PtRh2Se | Alexandria via LeMat-Bulk | GGA-PBEsol | optimized geometry; values from VASP
! Theoretical density, g cm⁻³: 13.5
! Space-group type: P4mm (99)
! Formation energy (no corrections), eV/atom: 0.141
&SYSTEM
  ibrav = 0, nat = 4, ntyp = 3
/
ATOMIC_SPECIES
Pt 195.08 Pt.upf
Rh 102.91 Rh.upf
Se 78.96 Se.upf
CELL_PARAMETERS angstrom
2.844 0.000 0.000
0.000 2.844 0.000
0.000 0.000 7.303
ATOMIC_POSITIONS crystal
Pt 0.000 0.000 0.000
Rh 0.000 0.000 0.500
Rh 0.500 0.500 0.251
Se 0.500 0.500 0.721

=====

Record 4
! Pt2RhSe | Alexandria via LeMat-Bulk | GGA-PBEsol | optimized geometry; values from VASP
! Theoretical density, g cm⁻³: 15.6
! Space-group type: Pmmm (47)
! Formation energy (no corrections), eV/atom: 0.133
&SYSTEM
  ibrav = 0, nat = 4, ntyp = 3
/
ATOMIC_SPECIES
Pt 195.08 Pt.upf
Rh 102.91 Rh.upf
Se 78.96 Se.upf
CELL_PARAMETERS angstrom
2.784 0.000 0.000
0.000 4.613 0.000
0.000 0.000 4.744
ATOMIC_POSITIONS crystal
Pt 0.000 0.000 0.000
Pt 0.500 0.500 0.000
Rh 0.000 0.500 0.500
Se 0.500 0.000 0.500

=====

Record 5
! PtRh2Se | Alexandria via LeMat-Bulk | GGA-PBEsol | optimized geometry; values from VASP
! Theoretical density, g cm⁻³: 13.6
! Space-group type: C2/m (12)
! Formation energy (no corrections), eV/atom: 0.129
&SYSTEM
  ibrav = 0, nat = 4, ntyp = 3
/
ATOMIC_SPECIES
Pt 195.08 Pt.upf
Rh 102.91 Rh.upf
Se 78.96 Se.upf
CELL_PARAMETERS angstrom
4.333 -1.439 0.000
4.333 1.439 0.000
-1.136 0.000 4.710
ATOMIC_POSITIONS crystal
Pt 0.000 0.000 0.000
Rh 0.242 0.242 0.744
Rh 0.758 0.758 0.256
Se 0.500 0.500 0.500

=====

Record 6
! Pt2RhSe | Alexandria via LeMat-Bulk | GGA-PBEsol | optimized geometry; values from VASP
! Theoretical density, g cm⁻³: 15.4
! Space-group type: Cmmm (65)
! Formation energy (no corrections), eV/atom: 0.258
&SYSTEM
  ibrav = 0, nat = 4, ntyp = 3
/
ATOMIC_SPECIES
Pt 195.08 Pt.upf
Rh 102.91 Rh.upf
Se 78.96 Se.upf
CELL_PARAMETERS angstrom
1.370 -2.400 0.000
1.370 2.400 0.000
0.000 0.000 9.374
ATOMIC_POSITIONS crystal
Pt 0.000 0.000 0.243
Pt 0.000 0.000 0.757
Rh 0.500 0.500 0.000
Se 0.500 0.500 0.500

=====

Record 7
! Pt2RhSe | Alexandria via LeMat-Bulk | GGA-PBEsol | optimized geometry; values from VASP
! Theoretical density, g cm⁻³: 15.5
! Space-group type: P4/mmm (123)
! Formation energy (no corrections), eV/atom: 0.206
&SYSTEM
  ibrav = 0, nat = 4, ntyp = 3
/
ATOMIC_SPECIES
Pt 195.08 Pt.upf
Rh 102.91 Rh.upf
Se 78.96 Se.upf
CELL_PARAMETERS angstrom
4.715 0.000 0.000
0.000 4.715 0.000
0.000 0.000 2.753
ATOMIC_POSITIONS crystal
Pt 0.000 0.500 0.000
Pt 0.500 0.000 0.000
Rh 0.000 0.000 0.500
Se 0.500 0.500 0.500

=====

Record 8
! Pt2RhSe | Alexandria via LeMat-Bulk | GGA-PBEsol | optimized geometry; values from VASP
! Theoretical density, g cm⁻³: 15.5
! Space-group type: Cmm2 (35)
! Formation energy (no corrections), eV/atom: 0.205
&SYSTEM
  ibrav = 0, nat = 4, ntyp = 3
/
ATOMIC_SPECIES
Pt 195.08 Pt.upf
Rh 102.91 Rh.upf
Se 78.96 Se.upf
CELL_PARAMETERS angstrom
1.380 -2.395 0.000
1.380 2.395 0.000
0.000 0.000 9.270
ATOMIC_POSITIONS crystal
Pt 0.000 0.000 0.000
Pt 0.500 0.500 0.256
Rh 0.000 0.000 0.504
Se 0.500 0.500 0.731

=====

Record 9
! PtRh2Se | Alexandria via LeMat-Bulk | GGA-PBEsol | optimized geometry; values from VASP
! Theoretical density, g cm⁻³: 13.6
! Space-group type: Imm2 (44)
! Formation energy (no corrections), eV/atom: 0.102
&SYSTEM
  ibrav = 0, nat = 4, ntyp = 3
/
ATOMIC_SPECIES
Pt 195.08 Pt.upf
Rh 102.91 Rh.upf
Se 78.96 Se.upf
CELL_PARAMETERS angstrom
-1.447 2.203 4.606
1.447 -2.203 4.606
1.447 2.203 -4.606
ATOMIC_POSITIONS crystal
Pt 0.000 0.000 0.000
Rh 0.268 0.768 0.500
Rh 0.545 0.545 0.000
Se 0.763 0.263 0.500

=====

Record 10
! PtRhSe2 | Alexandria via LeMat-Bulk | GGA-PBEsol | optimized geometry; values from VASP
! Theoretical density, g cm⁻³: 11.1
! Space-group type: R-3m (166)
! Formation energy (no corrections), eV/atom: -0.019
&SYSTEM
  ibrav = 0, nat = 4, ntyp = 3
/
ATOMIC_SPECIES
Pt 195.08 Pt.upf
Rh 102.91 Rh.upf
Se 78.96 Se.upf
CELL_PARAMETERS angstrom
1.802 1.040 6.066
-1.802 1.040 6.066
0.000 -2.081 6.066
ATOMIC_POSITIONS crystal
Pt 0.000 0.000 0.000
Rh 0.500 0.500 0.500
Se 0.247 0.247 0.247
Se 0.753 0.753 0.753

=====

Record 11
! Pt3Rh2Se10 | Alexandria via LeMat-Bulk | GGA-PBEsol | optimized geometry; values from VASP
! Theoretical density, g cm⁻³: 9.0
! Space-group type: P-3m1 (164)
! Formation energy (no corrections), eV/atom: -0.413
&SYSTEM
  ibrav = 0, nat = 15, ntyp = 3
/
ATOMIC_SPECIES
Pt 195.08 Pt.upf
Rh 102.91 Rh.upf
Se 78.96 Se.upf
CELL_PARAMETERS angstrom
3.717 0.000 0.000
-1.859 3.219 0.000
0.000 0.000 24.271
ATOMIC_POSITIONS crystal
Pt 0.000 0.000 0.000
Pt 0.000 0.000 0.202
Pt 0.000 0.000 0.798
Rh 0.000 0.000 0.400
Rh 0.000 0.000 0.600
Se 0.333 0.667 0.053
Se 0.333 0.667 0.256
Se 0.333 0.667 0.452
Se 0.333 0.667 0.650
Se 0.333 0.667 0.851
Se 0.667 0.333 0.149
Se 0.667 0.333 0.350
Se 0.667 0.333 0.548
Se 0.667 0.333 0.744
Se 0.667 0.333 0.947

=====

Record 12
! Pt2RhSe | Alexandria via LeMat-Bulk | GGA-PBEsol | optimized geometry; values from VASP
! Theoretical density, g cm⁻³: 15.7
! Space-group type: Cmmm (65)
! Formation energy (no corrections), eV/atom: 0.200
&SYSTEM
  ibrav = 0, nat = 4, ntyp = 3
/
ATOMIC_SPECIES
Pt 195.08 Pt.upf
Rh 102.91 Rh.upf
Se 78.96 Se.upf
CELL_PARAMETERS angstrom
2.719 -3.937 0.000
2.719 3.937 0.000
0.000 0.000 2.830
ATOMIC_POSITIONS crystal
Pt 0.000 0.500 0.000
Pt 0.500 0.000 0.000
Rh 0.000 0.000 0.500
Se 0.500 0.500 0.500

=====

Record 13
! Pt2RhSe | Alexandria via LeMat-Bulk | GGA-PBEsol | optimized geometry; values from VASP
! Theoretical density, g cm⁻³: 15.6
! Space-group type: I4/mmm (139)
! Formation energy (no corrections), eV/atom: 0.250
&SYSTEM
  ibrav = 0, nat = 4, ntyp = 3
/
ATOMIC_SPECIES
Pt 195.08 Pt.upf
Rh 102.91 Rh.upf
Se 78.96 Se.upf
CELL_PARAMETERS angstrom
-1.943 1.943 4.024
1.943 -1.943 4.024
1.943 1.943 -4.024
ATOMIC_POSITIONS crystal
Pt 0.250 0.750 0.500
Pt 0.750 0.250 0.500
Rh 0.000 0.000 0.000
Se 0.500 0.500 0.000

=====

Record 14
! PtRh3Se | Alexandria via LeMat-Bulk | GGA-PBEsol | optimized geometry; values from VASP
! Theoretical density, g cm⁻³: 11.1
! Space-group type: Pm-3m (221)
! Formation energy (no corrections), eV/atom: 0.860
&SYSTEM
  ibrav = 0, nat = 5, ntyp = 3
/
ATOMIC_SPECIES
Pt 195.08 Pt.upf
Rh 102.91 Rh.upf
Se 78.96 Se.upf
CELL_PARAMETERS angstrom
4.431 0.000 0.000
0.000 4.431 0.000
0.000 0.000 4.431
ATOMIC_POSITIONS crystal
Pt 0.000 0.000 0.000
Rh 0.000 0.500 0.500
Rh 0.500 0.000 0.500
Rh 0.500 0.500 0.000
Se 0.500 0.500 0.500

=====

Record 15
! Sn3PtRh | Alexandria via LeMat-Bulk | GGA-PBEsol | optimized geometry; values from VASP
! Theoretical density, g cm⁻³: 8.5
! Space-group type: Pm-3m (221)
! Energy, eV/atom: -4.952
&SYSTEM
  ibrav = 0, nat = 5, ntyp = 3
/
ATOMIC_SPECIES
Sn 118.71 Sn.upf
Pt 195.08 Pt.upf
Rh 102.91 Rh.upf
CELL_PARAMETERS angstrom
5.043 0.000 0.000
0.000 5.043 0.000
0.000 0.000 5.043
ATOMIC_POSITIONS crystal
Sn 0.000 0.000 0.500
Sn 0.000 0.500 0.000
Sn 0.500 0.000 0.000
Pt 0.000 0.000 0.000
Rh 0.500 0.500 0.500

=====

Record 16
! SnPtRh3 | Alexandria via LeMat-Bulk | GGA-PBEsol | optimized geometry; values from VASP
! Theoretical density, g cm⁻³: 9.9
! Space-group type: Pm-3m (221)
! Energy, eV/atom: -5.850
&SYSTEM
  ibrav = 0, nat = 5, ntyp = 3
/
ATOMIC_SPECIES
Sn 118.71 Sn.upf
Pt 195.08 Pt.upf
Rh 102.91 Rh.upf
CELL_PARAMETERS angstrom
4.706 0.000 0.000
0.000 4.706 0.000
0.000 0.000 4.706
ATOMIC_POSITIONS crystal
Sn 0.000 0.000 0.000
Pt 0.500 0.500 0.500
Rh 0.000 0.500 0.500
Rh 0.500 0.000 0.500
Rh 0.500 0.500 0.000

=====

Record 17
! SrPtRh2 | Alexandria via LeMat-Bulk | GGA-PBEsol | optimized geometry; values from VASP
! Energy relative to the lowest polymorph listed for this composition, meV per atom: 0
! Theoretical density, g cm⁻³: 11.3
! Space-group type: Pmm2 (25)
&SYSTEM
  ibrav = 0, nat = 4, ntyp = 3
/
ATOMIC_SPECIES
Sr 87.62 Sr.upf
Pt 195.08 Pt.upf
Rh 102.91 Rh.upf
CELL_PARAMETERS angstrom
2.827 0.000 0.000
0.000 3.728 0.000
0.000 0.000 6.822
ATOMIC_POSITIONS crystal
Sr 0.000 0.000 0.000
Pt 0.500 0.500 0.297
Rh 0.000 0.000 0.518
Rh 0.500 0.500 0.682

=====

Record 18
! SrPt3Rh | Alexandria via LeMat-Bulk | GGA-PBEsol | optimized geometry; values from VASP
! Theoretical density, g cm⁻³: 10.7
! Space-group type: Pm-3m (221)
! Energy, eV/atom: -3.905
&SYSTEM
  ibrav = 0, nat = 5, ntyp = 3
/
ATOMIC_SPECIES
Sr 87.62 Sr.upf
Pt 195.08 Pt.upf
Rh 102.91 Rh.upf
CELL_PARAMETERS angstrom
4.945 0.000 0.000
0.000 4.945 0.000
0.000 0.000 4.945
ATOMIC_POSITIONS crystal
Sr 0.000 0.000 0.000
Pt 0.000 0.000 0.500
Pt 0.000 0.500 0.000
Pt 0.500 0.000 0.000
Rh 0.500 0.500 0.500

=====

Record 19
! SrPtRh2 | Alexandria via LeMat-Bulk | GGA-PBEsol | optimized geometry; values from VASP
! Energy relative to the lowest polymorph listed for this composition, meV per atom: 210
! Theoretical density, g cm⁻³: 11.7
! Space-group type: Fm-3m (225)
&SYSTEM
  ibrav = 0, nat = 4, ntyp = 3
/
ATOMIC_SPECIES
Sr 87.62 Sr.upf
Pt 195.08 Pt.upf
Rh 102.91 Rh.upf
CELL_PARAMETERS angstrom
0.000 3.257 3.257
3.257 0.000 3.257
3.257 3.257 0.000
ATOMIC_POSITIONS crystal
Sr 0.000 0.000 0.000
Pt 0.500 0.500 0.500
Rh 0.250 0.250 0.250
Rh 0.750 0.750 0.750

=====

Record 20
! SrPtRh3 | Alexandria via LeMat-Bulk | GGA-PBEsol | optimized geometry; values from VASP
! Theoretical density, g cm⁻³: 8.9
! Space-group type: Pm-3m (221)
! Energy, eV/atom: -5.855
&SYSTEM
  ibrav = 0, nat = 5, ntyp = 3
/
ATOMIC_SPECIES
Sr 87.62 Sr.upf
Pt 195.08 Pt.upf
Rh 102.91 Rh.upf
CELL_PARAMETERS angstrom
4.795 0.000 0.000
0.000 4.795 0.000
0.000 0.000 4.795
ATOMIC_POSITIONS crystal
Sr 0.000 0.000 0.000
Pt 0.500 0.500 0.500
Rh 0.000 0.500 0.500
Rh 0.500 0.000 0.500
Rh 0.500 0.500 0.000